# 1
! GGA-PBE Li6AgSn12, optimized geometry; values from VASP
&SYSTEM
  ibrav = 0, nat = 19, ntyp = 3
/
ATOMIC_SPECIES
Li 6.94 Li.upf
Ag 107.87 Ag.upf
Sn 118.71 Sn.upf
CELL_PARAMETERS angstrom
6.056 3.496 3.781
-6.056 3.496 3.781
0.000 -6.993 3.781
ATOMIC_POSITIONS angstrom
Li -4.126 -3.075 5.556
Li -4.726 2.036 5.786
Li 0.600 -5.111 5.786
Li -0.600 5.111 5.556
Li 4.726 -2.036 5.556
Li 4.126 3.075 5.786
Ag 0.000 0.000 5.671
Sn -1.946 -4.825 4.661
Sn -5.152 -0.727 6.681
Sn -2.761 -0.556 4.786
Sn -3.205 4.098 4.661
Sn -0.899 -2.669 6.556
Sn 1.862 -2.114 4.786
Sn -1.862 2.114 6.556
Sn 0.899 2.669 4.786
Sn 3.205 -4.098 6.681
Sn 2.761 0.556 6.556
Sn 5.152 0.727 4.661
Sn 1.946 4.825 6.681
! energy of formation from the pure elements: -102 meV per atom
! space group: No. 148

---

# 2
! GGA-PBE CrMoW4, optimized geometry; values from VASP
&SYSTEM
  ibrav = 0, nat = 6, ntyp = 3
/
ATOMIC_SPECIES
Cr 52.00 Cr.upf
Mo 95.94 Mo.upf
W 183.84 W.upf
CELL_PARAMETERS angstrom
3.139 0.000 0.000
0.000 3.139 0.000
0.000 0.000 9.391
ATOMIC_POSITIONS angstrom
Cr 0.000 0.000 0.000
Mo 1.570 1.570 4.695
W 0.000 0.000 3.093
W 0.000 0.000 6.298
W 1.570 1.570 1.490
W 1.570 1.570 7.901
! energy of formation from the pure elements: 30 meV per atom
! space group: No. 123
! energy relative to the lowest polymorph listed for this composition: 0 meV per atom

---

# 3
! GGA-PBE Sr2AlAu, optimized geometry; values from VASP
&SYSTEM
  ibrav = 0, nat = 4, ntyp = 3
/
ATOMIC_SPECIES
Sr 87.62 Sr.upf
Al 26.98 Al.upf
Au 196.97 Au.upf
CELL_PARAMETERS angstrom
0.000 3.726 3.726
3.726 0.000 3.726
3.726 3.726 0.000
ATOMIC_POSITIONS angstrom
Sr 0.000 0.000 0.000
Sr 1.863 1.863 1.863
Al 3.726 3.726 3.726
Au 5.588 5.588 5.588
! energy of formation from the pure elements: -216 meV per atom
! space group: No. 216

---

# 4
! GGA-PBE TlSnI2Br, optimized geometry; values from VASP
&SYSTEM
  ibrav = 0, nat = 5, ntyp = 4
/
ATOMIC_SPECIES
Tl 204.38 Tl.upf
Sn 118.71 Sn.upf
I 126.90 I.upf
Br 79.90 Br.upf
CELL_PARAMETERS angstrom
6.234 0.000 0.000
0.000 6.234 0.000
0.000 0.000 5.757
ATOMIC_POSITIONS angstrom
Tl 0.000 0.000 0.000
Sn 3.117 3.117 2.879
I 0.000 3.117 2.879
I 3.117 0.000 2.879
Br 3.117 3.117 0.000
! space group: No. 123
! ΔE_f (raw): -0.560 eV per atom
! energy relative to the lowest polymorph listed for this composition: 91 meV per atom

---

# 5
! GGA-PBE PaTi2Ni9, optimized geometry; values from VASP
&SYSTEM
  ibrav = 0, nat = 12, ntyp = 3
/
ATOMIC_SPECIES
Pa 231.04 Pa.upf
Ti 47.87 Ti.upf
Ni 58.69 Ni.upf
CELL_PARAMETERS angstrom
2.394 1.382 7.841
-2.394 1.382 7.841
0.000 -2.764 7.841
ATOMIC_POSITIONS angstrom
Pa 0.000 0.000 0.000
Ti 0.000 0.000 3.368
Ti 0.000 0.000 20.155
Ni -1.213 -0.700 9.890
Ni 0.000 0.000 7.851
Ni 0.000 -1.401 13.634
Ni -1.213 0.700 13.634
Ni 0.000 0.000 11.762
Ni 1.213 -0.700 9.890
Ni 0.000 1.401 9.890
Ni 0.000 0.000 15.673
Ni 1.213 0.700 13.634
! energy of formation from the pure elements: -389 meV per atom
! space group: No. 166

---

# 6
! GGA-PBE ScTiAs2Se, optimized geometry; values from VASP
&SYSTEM
  ibrav = 0, nat = 5, ntyp = 4
/
ATOMIC_SPECIES
Sc 44.96 Sc.upf
Ti 47.87 Ti.upf
As 74.92 As.upf
Se 78.96 Se.upf
CELL_PARAMETERS angstrom
5.023 0.000 0.000
0.000 5.023 0.000
0.000 0.000 5.021
ATOMIC_POSITIONS angstrom
Sc 0.000 0.000 0.000
Ti 2.511 2.511 2.510
As 0.000 2.511 0.000
As 2.511 0.000 0.000
Se 0.000 0.000 2.510
! space group: No. 123
! ΔE_f (raw): 0.240 eV per atom
! energy relative to the lowest polymorph listed for this composition: 554 meV per atom

---

# 7
! GGA-PBE LaSc2Ta, optimized geometry; values from VASP
&SYSTEM
  ibrav = 0, nat = 4, ntyp = 3
/
ATOMIC_SPECIES
La 138.91 La.upf
Sc 44.96 Sc.upf
Ta 180.95 Ta.upf
CELL_PARAMETERS angstrom
3.145 0.000 0.000
0.000 3.145 0.000
0.000 0.000 9.971
ATOMIC_POSITIONS angstrom
La 0.000 0.000 0.000
Sc 0.000 0.000 5.387
Sc 1.573 1.573 2.861
Ta 1.573 1.573 7.460
! energy of formation from the pure elements: 259 meV per atom
! space group: No. 99

---

# 8
! GGA-PBE Li2CeThS4, optimized geometry; values from VASP
&SYSTEM
  ibrav = 0, nat = 8, ntyp = 4
/
ATOMIC_SPECIES
Li 6.94 Li.upf
Ce 140.12 Ce.upf
Th 232.04 Th.upf
S 32.06 S.upf
CELL_PARAMETERS angstrom
6.666 0.000 0.000
0.000 4.005 0.000
-2.401 0.000 6.513
ATOMIC_POSITIONS angstrom
Li 0.000 0.000 0.000
Li -1.200 2.003 3.256
Ce 2.133 0.000 3.256
Th 3.333 2.003 0.000
S -0.219 0.000 4.875
S 1.006 2.003 1.582
S 3.260 2.003 4.931
S 4.485 0.000 1.638
! space group: No. 10
! ΔE_f (raw): -1.679 eV per atom

---

# 9
! GGA-PBE Ta2Mn2Co, optimized geometry; values from VASP
&SYSTEM
  ibrav = 0, nat = 10, ntyp = 3
/
ATOMIC_SPECIES
Ta 180.95 Ta.upf
Mn 54.94 Mn.upf
Co 58.93 Co.upf
CELL_PARAMETERS angstrom
6.013 0.000 0.000
0.000 6.013 0.000
0.000 0.000 3.904
ATOMIC_POSITIONS angstrom
Ta 1.112 1.895 0.000
Ta 1.895 4.901 0.000
Ta 4.118 1.112 0.000
Ta 4.901 4.118 0.000
Mn 0.736 3.742 1.952
Mn 2.271 0.736 1.952
Mn 3.742 5.277 1.952
Mn 5.277 2.271 1.952
Co 0.000 0.000 1.952
Co 3.006 3.006 1.952
! energy of formation from the pure elements: 63 meV per atom
! space group: No. 127

---

# 10
! GGA-PBE CsSiHgAu2, optimized geometry; values from VASP
&SYSTEM
  ibrav = 0, nat = 5, ntyp = 4
/
ATOMIC_SPECIES
Cs 132.91 Cs.upf
Si 28.09 Si.upf
Hg 200.59 Hg.upf
Au 196.97 Au.upf
CELL_PARAMETERS angstrom
5.120 0.000 0.000
0.000 5.120 0.000
0.000 0.000 5.310
ATOMIC_POSITIONS angstrom
Cs 0.000 0.000 0.000
Si 2.560 2.560 2.655
Hg 2.560 2.560 0.000
Au 0.000 2.560 2.655
Au 2.560 0.000 2.655
! space group: No. 123
! ΔE_f (raw): -0.132 eV per atom

---

# 11
! GGA-PBE GaAsS2, optimized geometry; values from VASP
&SYSTEM
  ibrav = 0, nat = 8, ntyp = 3
/
ATOMIC_SPECIES
Ga 69.72 Ga.upf
As 74.92 As.upf
S 32.06 S.upf
CELL_PARAMETERS angstrom
-3.341 3.341 3.602
3.341 -3.341 3.602
3.341 3.341 -3.602
ATOMIC_POSITIONS angstrom
Ga 0.000 0.000 0.000
Ga 0.000 3.341 1.801
As 3.341 0.000 1.801
As 0.000 0.000 3.602
S 5.011 1.571 -0.901
S 1.571 1.670 0.901
S -1.670 1.770 2.702
S 1.770 1.670 4.503
! space group: No. 122
! ΔE_f (raw): 0.006 eV per atom

---

# 12
! GGA-PBE KTcN2, optimized geometry; values from VASP
&SYSTEM
  ibrav = 0, nat = 4, ntyp = 3
/
ATOMIC_SPECIES
K 39.10 K.upf
Tc 98.00 Tc.upf
N 14.01 N.upf
CELL_PARAMETERS angstrom
3.824 0.000 0.000
0.000 3.487 0.000
-0.388 0.000 5.397
ATOMIC_POSITIONS angstrom
K 0.000 0.000 0.000
Tc 1.613 1.743 2.685
N -0.056 1.743 3.193
N 1.979 0.000 2.048
! space group: No. 6
! ΔE_f (raw): 0.102 eV per atom
! energy relative to the lowest polymorph listed for this composition: 269 meV per atom